Entry 1:
Li5Sb3H12: optimized geometry, GGA-PBE.

a b c (Å): 10.386 10.386 10.386
angles (deg): 109.47 109.47 109.47
Element x y z (fractional)
H: 0.175 0.095 0.722
H: 0.905 0.080 0.627
H: 0.080 0.905 0.127
H: 0.420 0.047 0.325
H: 0.953 0.580 0.175
H: 0.453 0.675 0.080
H: 0.127 0.405 0.080
H: 0.047 0.627 0.722
H: 0.547 0.222 0.127
H: 0.325 0.778 0.405
H: 0.405 0.278 0.325
H: 0.325 0.547 0.420
H: 0.675 0.453 0.580
H: 0.627 0.580 0.905
H: 0.873 0.595 0.920
H: 0.047 0.420 0.825
H: 0.675 0.222 0.595
H: 0.920 0.095 0.873
H: 0.080 0.175 0.453
H: 0.453 0.778 0.873
H: 0.278 0.405 0.825
H: 0.373 0.420 0.095
H: 0.222 0.675 0.095
H: 0.095 0.175 0.222
H: 0.278 0.873 0.953
H: 0.825 0.920 0.047
H: 0.127 0.722 0.547
H: 0.595 0.722 0.675
H: 0.580 0.627 0.405
H: 0.722 0.595 0.175
H: 0.222 0.547 0.627
H: 0.627 0.047 0.222
H: 0.722 0.127 0.047
H: 0.873 0.278 0.453
H: 0.580 0.953 0.675
H: 0.420 0.373 0.595
H: 0.405 0.127 0.580
H: 0.175 0.080 0.953
H: 0.595 0.873 0.420
H: 0.953 0.373 0.278
H: 0.778 0.453 0.373
H: 0.920 0.825 0.547
H: 0.373 0.953 0.778
H: 0.825 0.905 0.278
H: 0.547 0.325 0.920
H: 0.905 0.825 0.778
H: 0.095 0.920 0.373
H: 0.778 0.325 0.905
Sb: 0.875 0.750 0.125
Sb: 0.250 0.625 0.875
Sb: 0.625 0.375 0.750
Sb: 0.750 0.875 0.625
Sb: 0.250 0.125 0.375
Sb: 0.750 0.375 0.125
Sb: 0.375 0.750 0.625
Sb: 0.125 0.250 0.875
Sb: 0.875 0.125 0.250
Sb: 0.375 0.625 0.250
Sb: 0.625 0.250 0.375
Sb: 0.125 0.875 0.750
Li: 0.875 0.625 0.750
Li: 0.875 0.250 0.625
Li: 0.000 0.000 0.500
Li: 0.625 0.750 0.875
Li: 0.500 0.500 0.500
Li: 0.750 0.625 0.375
Li: 0.375 0.250 0.125
Li: 0.500 0.500 0.000
Li: 0.000 0.500 0.500
Li: 0.125 0.375 0.250
Li: 0.375 0.125 0.750
Li: 0.750 0.125 0.875
Li: 0.000 0.500 0.000
Li: 0.500 0.000 0.500
Li: 0.625 0.875 0.250
Li: 0.125 0.750 0.375
Li: 0.250 0.375 0.625
Li: 0.000 0.000 0.000
Li: 0.250 0.875 0.125
Li: 0.500 0.000 0.000

Summary:
The calculation puts the uncorrected energy at -2.896 eV/atom. The symmetry is Ia-3d, No. 230.

---

Entry 2:
LiSb2H2: optimized geometry, GGA-PBE.

a b c (Å): 6.759 6.759 3.334
angles (deg): 90.00 90.00 90.00
Element x y z (fractional)
H: 0.118 0.382 0.000
H: 0.382 0.882 0.000
H: 0.618 0.118 0.000
H: 0.882 0.618 0.000
Sb: 0.149 0.649 0.500
Sb: 0.649 0.851 0.500
Sb: 0.851 0.351 0.500
Sb: 0.351 0.149 0.500
Li: 0.000 0.000 0.000
Li: 0.500 0.500 0.000

Summary:
The symmetry is P4/mbm, No. 127. The value obtained for the polymorph energy (0 for the lowest one) is 59 meV/atom.